1.
This record from Alexandria via LeMat-Bulk describes crystalline Sm2Tm6Th3 at its relaxed geometry. The functional is PBE.

Output
Theoretical density, g cm⁻³: 9.11
Size of the total moment, μB per atom: 0.0000
DFT formation energy, eV/atom: 0.17

```
data_Sm2Tm6Th3
_cell_length_a 6.0986
_cell_length_b 10.6817
_cell_length_c 11.4900
_cell_angle_alpha 90.00
_cell_angle_beta 101.65
_cell_angle_gamma 90.00
_space_group_name_H-M_alt 'C 1 2/m 1'
_space_group_IT_number 12
_space_group_name_Hall '-C 2y'
loop_
_atom_site_label
_atom_site_fract_x
_atom_site_fract_y
_atom_site_fract_z
Sm1 0.0000 0.1616 0.0000
Tm1 0.2426 0.3345 0.2525
Tm2 0.2439 0.0000 0.2578
Th1 0.0000 0.0000 0.5000
Th2 0.0000 0.3324 0.5000
```

2.
This record from Alexandria via LeMat-Bulk describes crystalline Sm2Tm6Th at its relaxed geometry. The functional is PBE.

Output
Theoretical density, g cm⁻³: 8.89
Size of the total moment, μB per atom: 0.0000
DFT formation energy, eV/atom: 0.24

```
data_Sm2Tm6Th
_cell_length_a 12.6888
_cell_length_b 12.9536
_cell_length_c 7.5177
_cell_angle_alpha 90.00
_cell_angle_beta 110.76
_cell_angle_gamma 90.00
_space_group_name_H-M_alt 'C 1 2/c 1'
_space_group_IT_number 15
_space_group_name_Hall '-C 2yc'
loop_
_atom_site_label
_atom_site_fract_x
_atom_site_fract_y
_atom_site_fract_z
Sm1 0.1220 0.0616 0.4431
Tm1 0.0874 0.1818 0.9593
Tm2 0.1233 0.4504 0.9766
Tm3 0.1978 0.2837 0.6750
Th1 0.0000 0.3139 0.2500
```

3.
This record from Alexandria via LeMat-Bulk describes crystalline Sm6Tm8Th at its relaxed geometry. The functional is PBE.

Output
Theoretical density, g cm⁻³: 8.53
Size of the total moment, μB per atom: 0.0000
DFT formation energy, eV/atom: 0.13

```
data_Sm6Tm8Th
_cell_length_a 9.0045
_cell_length_b 9.0045
_cell_length_c 20.6702
_cell_angle_alpha 90.00
_cell_angle_beta 90.00
_cell_angle_gamma 120.00
_space_group_name_H-M_alt 'R -3'
_space_group_IT_number 148
_space_group_name_Hall '-R 3'
loop_
_atom_site_label
_atom_site_fract_x
_atom_site_fract_y
_atom_site_fract_z
Sm1 0.0603 0.8126 0.2107
Tm1 0.0000 0.0000 0.0770
Tm2 0.0813 0.5212 0.3058
Th1 0.0000 0.0000 0.5000
```